An optimized crystal structure of Cd3Bi, computed with GGA-PBE.

Cell: 3.322 10.644 5.874 Å, 90.00 90.00 90.00°
Space group Imm2 (No. 44)
Symmetry-distinct sites (fractional):
Cd 0.000 0.000 0.000
Cd 0.000 0.264 0.624
Bi 0.000 0.500 0.015

V	103.9	Å³/f.u.
crystal system	orthorhombic
electronic total energy	-12.49	eV for the cell shown
energy of formation	96	meV per atom